Here is a geometry-optimized TiAsPd structure from Alexandria via LeMat-Bulk. Energies are from GGA-PBE.

The structure in POSCAR format:
```
TiAsPd
1.0
6.598 0.000 0.000
-3.299 5.714 0.000
0.000 0.000 3.817
Ti As Pd
3 3 3
direct
0.000 0.405 0.000
0.405 0.000 0.000
0.595 0.595 0.000
0.000 0.000 0.000
0.333 0.667 0.500
0.667 0.333 0.500
0.000 0.737 0.500
0.263 0.263 0.500
0.737 0.000 0.500
```

Formation energy: -716 meV/atom
SG: P-62m (189)


Here is a geometry-optimized MgTeW3 structure from Alexandria via LeMat-Bulk. Energies are from GGA-PBE.

The structure in POSCAR format:
```
MgTeW3
1.0
4.905 0.000 0.000
0.000 4.905 0.000
0.000 0.000 4.905
Mg Te W
1 1 3
direct
0.000 0.000 0.000
0.500 0.500 0.500
0.000 0.500 0.500
0.500 0.000 0.500
0.500 0.500 0.000
```

E_form (uncorrected): 2248 meV/atom
SG: Pm-3m (221)
E above lowest polymorph: 0.00 eV/f.u.


Here is a geometry-optimized Rb3ReO6 structure from Alexandria via LeMat-Bulk. Energies are from GGA-PBE.

The structure in POSCAR format:
```
Rb3ReO6
1.0
0.000 4.728 5.510
4.057 0.000 5.510
4.057 4.728 0.000
Rb Re O
3 1 6
direct
0.000 0.000 0.000
0.250 0.250 0.250
0.750 0.750 0.750
0.500 0.500 0.500
0.214 0.546 0.786
0.299 0.701 0.299
0.454 0.786 0.546
0.546 0.214 0.454
0.701 0.299 0.701
0.786 0.454 0.214
```

E_form (uncorrected): -1343 meV/atom
SG: Fmmm (69)


Here is a geometry-optimized TmScZnTc structure from Alexandria via LeMat-Bulk. Energies are from GGA-PBE.

The structure in POSCAR format:
```
TmScZnTc
1.0
6.724 0.000 0.000
0.000 6.724 0.000
0.000 0.000 6.724
Tm Sc Zn Tc
4 4 4 4
direct
0.000 0.000 0.000
0.000 0.500 0.500
0.500 0.000 0.500
0.500 0.500 0.000
0.000 0.000 0.500
0.000 0.500 0.000
0.500 0.000 0.000
0.500 0.500 0.500
0.250 0.250 0.750
0.250 0.750 0.250
0.750 0.250 0.250
0.750 0.750 0.750
0.250 0.250 0.250
0.250 0.750 0.750
0.750 0.250 0.750
0.750 0.750 0.250
```

Formation energy: -227 meV/atom
SG: F-43m (216)


Here is a geometry-optimized BaGaAs2 structure from Alexandria via LeMat-Bulk. Energies are from GGA-PBE.

The structure in POSCAR format:
```
BaGaAs2
1.0
5.404 -6.156 0.000
5.404 6.156 0.000
-5.182 0.000 13.976
Ba Ga As
8 8 16
direct
0.069 0.149 0.389
0.109 0.538 0.873
0.149 0.069 0.889
0.462 0.891 0.627
0.538 0.109 0.373
0.851 0.931 0.111
0.891 0.462 0.127
0.931 0.851 0.611
0.239 0.445 0.647
0.261 0.551 0.329
0.445 0.239 0.147
0.449 0.739 0.171
0.551 0.261 0.829
0.555 0.761 0.853
0.739 0.449 0.671
0.761 0.555 0.353
0.063 0.603 0.456
0.198 0.257 0.215
0.209 0.791 0.250
0.257 0.198 0.715
0.266 0.734 0.750
0.395 0.456 0.046
0.397 0.937 0.044
0.456 0.395 0.546
0.544 0.605 0.454
0.603 0.063 0.956
0.605 0.544 0.954
0.734 0.266 0.250
0.743 0.802 0.285
0.791 0.209 0.750
0.802 0.743 0.785
0.937 0.397 0.544
```

Formation energy: -649 meV/atom
SG: C2/c (15)


Here is a geometry-optimized LaPrNdIn structure from Alexandria via LeMat-Bulk. Energies are from GGA-PBE.

The structure in POSCAR format:
```
LaPrNdIn
1.0
8.028 0.000 0.000
0.000 8.028 0.000
0.000 0.000 8.028
La Pr Nd In
4 4 4 4
direct
0.000 0.000 0.000
0.000 0.500 0.500
0.500 0.000 0.500
0.500 0.500 0.000
0.000 0.000 0.500
0.000 0.500 0.000
0.500 0.000 0.000
0.500 0.500 0.500
0.250 0.250 0.250
0.250 0.750 0.750
0.750 0.250 0.750
0.750 0.750 0.250
0.250 0.250 0.750
0.250 0.750 0.250
0.750 0.250 0.250
0.750 0.750 0.750
```

Formation energy: -146 meV/atom
SG: F-43m (216)
E above lowest polymorph: 0.44 eV/f.u.


Here is a geometry-optimized LiTb3Hg structure from Alexandria via LeMat-Bulk. Energies are from GGA-PBE.

The structure in POSCAR format:
```
LiTb3Hg
1.0
2.579 -10.113 0.000
2.579 10.113 0.000
0.000 0.000 5.163
Li Tb Hg
2 6 2
direct
0.153 0.847 0.750
0.847 0.153 0.250
0.058 0.942 0.250
0.248 0.752 0.250
0.436 0.564 0.250
0.564 0.436 0.750
0.752 0.248 0.750
0.942 0.058 0.750
0.340 0.660 0.750
0.660 0.340 0.250
```

Formation energy: -163 meV/atom
SG: Cmcm (63)


Here is a geometry-optimized PtBr3F structure from Alexandria via LeMat-Bulk. Energies are from GGA-PBE.

The structure in POSCAR format:
```
PtBr3F
1.0
4.871 0.000 0.000
0.000 4.871 0.000
0.000 0.000 4.871
Pt Br F
1 3 1
direct
0.000 0.000 0.000
0.000 0.500 0.500
0.500 0.000 0.500
0.500 0.500 0.000
0.500 0.500 0.500
```

E_form (uncorrected): 936 meV/atom
SG: Pm-3m (221)
E above lowest polymorph: 3.98 eV/f.u.


Here is a geometry-optimized YMgPd3 structure from Alexandria via LeMat-Bulk. Energies are from GGA-PBE.

The structure in POSCAR format:
```
YMgPd3
1.0
7.680 0.000 0.000
0.000 7.605 0.000
0.000 0.000 6.957
Y Mg Pd
4 4 12
direct
0.090 0.250 0.015
0.410 0.750 0.515
0.590 0.250 0.485
0.910 0.750 0.985
0.000 0.000 0.500
0.000 0.500 0.500
0.500 0.000 0.000
0.500 0.500 0.000
0.207 0.567 0.804
0.207 0.933 0.804
0.244 0.250 0.639
0.256 0.750 0.139
0.293 0.067 0.304
0.293 0.433 0.304
0.707 0.567 0.696
0.707 0.933 0.696
0.744 0.250 0.861
0.756 0.750 0.361
0.793 0.067 0.196
0.793 0.433 0.196
```

Formation energy: -593 meV/atom
SG: Pnma (62)
E above lowest polymorph: 0.00 eV/f.u.


Here is a geometry-optimized Sc2TaCdTe structure from Alexandria via LeMat-Bulk. Energies are from GGA-PBE.

The structure in POSCAR format:
```
Sc2TaCdTe
1.0
5.297 0.000 0.000
0.000 5.297 0.000
0.000 0.000 5.233
Sc Ta Cd Te
2 1 1 1
direct
0.000 0.500 0.000
0.500 0.000 0.000
0.000 0.000 0.000
0.500 0.500 0.500
0.000 0.000 0.500
```

E_form (uncorrected): 436 meV/atom
SG: P4/mmm (123)


Here is a geometry-optimized Ho5Sc4Hg structure from Alexandria via LeMat-Bulk. Energies are from GGA-PBE.

The structure in POSCAR format:
```
Ho5Sc4Hg
1.0
3.476 0.000 0.000
0.000 3.476 0.000
0.000 0.000 22.573
Ho Sc Hg
5 4 1
direct
0.000 0.000 0.000
0.000 0.000 0.203
0.000 0.000 0.408
0.000 0.000 0.592
0.000 0.000 0.797
0.500 0.500 0.102
0.500 0.500 0.305
0.500 0.500 0.695
0.500 0.500 0.898
0.500 0.500 0.500
```

Formation energy: -50 meV/atom
SG: P4/mmm (123)


Here is a geometry-optimized Ce3RuPb structure from Alexandria via LeMat-Bulk. Energies are from GGA-PBE.

The structure in POSCAR format:
```
Ce3RuPb
1.0
8.240 -4.766 0.000
8.240 4.766 0.000
-0.455 0.000 6.430
Ce Ru Pb
12 4 4
direct
0.002 0.202 0.362
0.114 0.548 0.965
0.191 0.478 0.437
0.202 0.002 0.862
0.452 0.886 0.535
0.478 0.191 0.937
0.522 0.809 0.063
0.548 0.114 0.465
0.798 0.998 0.138
0.809 0.522 0.563
0.886 0.452 0.035
0.998 0.798 0.638
0.210 0.242 0.669
0.242 0.210 0.169
0.758 0.790 0.831
0.790 0.758 0.331
0.196 0.804 0.250
0.434 0.566 0.750
0.566 0.434 0.250
0.804 0.196 0.750
```

Formation energy: -246 meV/atom
SG: C2/c (15)
E above lowest polymorph: 0.26 eV/f.u.


| no. | uncorrected energy (eV per atom) |
| --- | --- |
| 1 | -6.63 |
| 2 | -6.47 |
| 3 | -5.85 |
| 4 | -5.84 |
| 5 | -4.21 |
| 6 | -4.45 |
| 7 | -3.38 |
| 8 | -1.65 |
| 9 | -5.32 |
| 10 | -5.28 |
| 11 | -4.90 |
| 12 | -6.40 |